# Cd7Bi2Rh2

Cd7Bi2Rh2 after structural relaxation (PBE, the Alexandria database).

E (eV per atom): -2.674
Calculated volume (Å³ per cell): 491
Spin magnetization (μB/atom): 0.000
Energy of formation from the pure elements (kJ/mol of formula units): -53

The structure in CIF format:
```
data_Cd7Bi2Rh2
_symmetry_space_group_name_H-M 'C 1 2/m 1'
_symmetry_Int_Tables_number 12
_cell_length_a 12.996
_cell_length_b 9.075
_cell_length_c 4.423
_cell_angle_alpha 90.00
_cell_angle_beta 109.72
_cell_angle_gamma 90.00
loop_
_symmetry_equiv_pos_as_xyz
'x,y,z'
'-x,-y,-z'
'-x,y,-z'
'x,-y,z'
'x+1/2,y+1/2,z'
'-x+1/2,-y+1/2,-z'
'-x+1/2,y+1/2,-z'
'x+1/2,-y+1/2,z'
loop_
_atom_site_label
_atom_site_type_symbol
_atom_site_fract_x
_atom_site_fract_y
_atom_site_fract_z
Cd1 Cd 0.000 0.000 0.000
Cd2 Cd 0.146 0.255 0.145
Cd3 Cd 0.170 0.000 0.669
Bi1 Bi 0.130 0.500 0.630
Rh1 Rh 0.000 0.217 0.500
```

***

# TcPBr2

TcPBr2 after structural relaxation (PBE, the Alexandria database).

E_form (uncorrected) (eV/atom): -0.032
E (eV per atom): -4.813
Polymorph energy (0 for the lowest one) (kJ/mol of atoms): 13.74
Calculated volume (Å³ per cell): 98
Spin magnetization (μB/atom): 0.000

The structure in CIF format:
```
data_TcPBr2
_symmetry_space_group_name_H-M 'P 1 m 1'
_symmetry_Int_Tables_number 6
_cell_length_a 5.024
_cell_length_b 3.670
_cell_length_c 5.601
_cell_angle_alpha 90.00
_cell_angle_beta 108.11
_cell_angle_gamma 90.00
loop_
_symmetry_equiv_pos_as_xyz
'x,y,z'
'x,-y,z'
loop_
_atom_site_label
_atom_site_type_symbol
_atom_site_fract_x
_atom_site_fract_y
_atom_site_fract_z
Tc1 Tc 0.000 0.000 0.000
P1 P 0.936 0.500 0.770
Br1 Br 0.155 0.500 0.395
Br2 Br 0.543 0.000 0.115
```

***

# GdDySnIr

GdDySnIr after structural relaxation (PBE, the Alexandria database).

E (eV per atom): -8.479
Calculated volume (Å³ per cell): 378
Spin magnetization (μB/atom): 1.746
Energy of formation from the pure elements (kJ/mol of formula units): -229

The structure in CIF format:
```
data_GdDySnIr
_symmetry_space_group_name_H-M 'F -4 3 m'
_symmetry_Int_Tables_number 216
_symmetry_space_group_name_Hall 'F -4 2 3'
_cell_length_a 7.229
_cell_length_b 7.229
_cell_length_c 7.229
_cell_angle_alpha 90.00
_cell_angle_beta 90.00
_cell_angle_gamma 90.00
loop_
_atom_site_label
_atom_site_type_symbol
_atom_site_fract_x
_atom_site_fract_y
_atom_site_fract_z
Gd1 Gd 0.000 0.000 0.000
Dy1 Dy 0.000 0.000 0.500
Sn1 Sn 0.250 0.250 0.250
Ir1 Ir 0.250 0.250 0.750
```

***

# LaSm2Y7

LaSm2Y7 after structural relaxation (PBE, the Alexandria database).

E (eV per atom): -5.281
Polymorph energy (0 for the lowest one) (kJ/mol of atoms): 63.44
Calculated volume (Å³ per cell): 806
Spin magnetization (μB/atom): 0.000
Energy of formation from the pure elements (kJ/mol of formula units): 657

The structure in CIF format:
```
data_LaSm2Y7
_symmetry_space_group_name_H-M 'C m m m'
_symmetry_Int_Tables_number 65
_symmetry_space_group_name_Hall '-C 2 2'
_cell_length_a 8.791
_cell_length_b 16.235
_cell_length_c 5.647
_cell_angle_alpha 90.00
_cell_angle_beta 90.00
_cell_angle_gamma 90.00
loop_
_atom_site_label
_atom_site_type_symbol
_atom_site_fract_x
_atom_site_fract_y
_atom_site_fract_z
La1 La 0.000 0.000 0.000
Sm1 Sm 0.000 0.298 0.500
Y1 Y 0.000 0.222 0.000
Y2 Y 0.000 0.500 0.500
Y3 Y 0.177 0.116 0.500
```

***

# KSbTe2

KSbTe2 after structural relaxation (PBE, the Alexandria database).

E_form (uncorrected) (eV/atom): -0.231
E (eV per atom): -3.107
Calculated volume (Å³ per cell): 245
Spin magnetization (μB/atom): 0.000

The structure in CIF format:
```
data_KSbTe2
_symmetry_space_group_name_H-M 'C m m m'
_symmetry_Int_Tables_number 65
_symmetry_space_group_name_Hall '-C 2 2'
_cell_length_a 7.074
_cell_length_b 8.258
_cell_length_c 4.199
_cell_angle_alpha 90.00
_cell_angle_beta 90.00
_cell_angle_gamma 90.00
loop_
_atom_site_label
_atom_site_type_symbol
_atom_site_fract_x
_atom_site_fract_y
_atom_site_fract_z
K1 K 0.000 0.000 0.000
Sb1 Sb 0.000 0.500 0.000
Te1 Te 0.250 0.250 0.500
```

***

# NaPaHgAu

NaPaHgAu after structural relaxation (PBE, the Alexandria database).

E (eV per atom): -3.631
Calculated volume (Å³ per cell): 373
Spin magnetization (μB/atom): 0.208
Energy of formation from the pure elements (kJ/mol of formula units): -12

The structure in CIF format:
```
data_NaPaHgAu
_symmetry_space_group_name_H-M 'F -4 3 m'
_symmetry_Int_Tables_number 216
_symmetry_space_group_name_Hall 'F -4 2 3'
_cell_length_a 7.200
_cell_length_b 7.200
_cell_length_c 7.200
_cell_angle_alpha 90.00
_cell_angle_beta 90.00
_cell_angle_gamma 90.00
loop_
_atom_site_label
_atom_site_type_symbol
_atom_site_fract_x
_atom_site_fract_y
_atom_site_fract_z
Na1 Na 0.000 0.000 0.000
Pa1 Pa 0.000 0.000 0.500
Hg1 Hg 0.250 0.250 0.750
Au1 Au 0.250 0.250 0.250
```

***

# Mg2Ti2F

Mg2Ti2F after structural relaxation (PBE, the Alexandria database).

E_form (uncorrected) (eV/atom): -0.589
E (eV per atom): -4.759
Polymorph energy (0 for the lowest one) (kJ/mol of atoms): 0.00
Calculated volume (Å³ per cell): 177
Spin magnetization (μB/atom): 0.000

The structure in CIF format:
```
data_Mg2Ti2F
_symmetry_space_group_name_H-M 'P 4/m b m'
_symmetry_Int_Tables_number 127
_symmetry_space_group_name_Hall '-P 4 2ab'
_cell_length_a 5.724
_cell_length_b 5.724
_cell_length_c 5.400
_cell_angle_alpha 90.00
_cell_angle_beta 90.00
_cell_angle_gamma 90.00
loop_
_atom_site_label
_atom_site_type_symbol
_atom_site_fract_x
_atom_site_fract_y
_atom_site_fract_z
Mg1 Mg 0.168 0.332 0.000
Ti1 Ti 0.158 0.658 0.500
F1 F 0.000 0.000 0.500
```

***

# BaUH2F8

BaUH2F8 after structural relaxation (PBE, the Alexandria database).

E (eV per atom): -5.846
Calculated volume (Å³ per cell): 180
Spin magnetization (μB/atom): 0.167

The structure in CIF format:
```
data_BaUH2F8
_symmetry_space_group_name_H-M 'P -3'
_symmetry_Int_Tables_number 147
_cell_length_a 5.2513
_cell_length_b 5.2513
_cell_length_c 7.5546
_cell_angle_alpha 90.00
_cell_angle_beta 90.00
_cell_angle_gamma 120.00
loop_
_symmetry_equiv_pos_as_xyz
'x,y,z'
'-x,-y,-z'
'-y,x-y,z'
'y,-x+y,-z'
'-x+y,-x,z'
'x-y,x,-z'
loop_
_atom_site_label
_atom_site_type_symbol
_atom_site_fract_x
_atom_site_fract_y
_atom_site_fract_z
Ba1 Ba 0.0000 0.0000 0.0000
U1 U 0.0000 0.0000 0.5000
H1 H 0.3333 0.6667 0.8315
F1 F 0.0292 0.3205 0.6972
F2 F 0.3333 0.6667 0.9602
```

***

# ZnPAu2

ZnPAu2 after structural relaxation (PBE, the Alexandria database).

E (eV per atom): -3.208
Polymorph energy (0 for the lowest one) (kJ/mol of atoms): 2.85
Calculated volume (Å³ per cell): 69
Spin magnetization (μB/atom): 0.000
Energy of formation from the pure elements (kJ/mol of formula units): 39

The structure in CIF format:
```
data_ZnPAu2
_symmetry_space_group_name_H-M 'P 4 m m'
_symmetry_Int_Tables_number 99
_cell_length_a 3.609
_cell_length_b 3.609
_cell_length_c 5.303
_cell_angle_alpha 90.00
_cell_angle_beta 90.00
_cell_angle_gamma 90.00
loop_
_symmetry_equiv_pos_as_xyz
'x,y,z'
'-y,x,z'
'-x,-y,z'
'y,-x,z'
'-x,y,z'
'y,x,z'
'x,-y,z'
'-y,-x,z'
loop_
_atom_site_label
_atom_site_type_symbol
_atom_site_fract_x
_atom_site_fract_y
_atom_site_fract_z
Zn1 Zn 0.000 0.000 0.000
P1 P 0.500 0.500 0.658
Au1 Au 0.000 0.000 0.515
Au2 Au 0.500 0.500 0.162
```

***

# ZnCrCd2

ZnCrCd2 after structural relaxation (PBE, the Alexandria database).

E (eV per atom): -2.794
Calculated volume (Å³ per cell): 210
Spin magnetization (μB/atom): 0.000
Energy of formation from the pure elements (kJ/mol of formula units): 150

The structure in CIF format:
```
data_ZnCrCd2
_symmetry_space_group_name_H-M 'R 3 m'
_symmetry_Int_Tables_number 160
_symmetry_space_group_name_Hall 'R 3 -2"'
_cell_length_a 2.8661
_cell_length_b 2.8661
_cell_length_c 29.5138
_cell_angle_alpha 90.00
_cell_angle_beta 90.00
_cell_angle_gamma 120.00
loop_
_atom_site_label
_atom_site_type_symbol
_atom_site_fract_x
_atom_site_fract_y
_atom_site_fract_z
Zn1 Zn 0.0000 0.0000 0.0000
Cr1 Cr 0.0000 0.0000 0.7344
Cd1 Cd 0.0000 0.0000 0.2439
Cd2 Cd 0.0000 0.0000 0.4795
```

***

# Ti4Sn3H

Ti4Sn3H after structural relaxation (PBE, the Alexandria database).

E (eV per atom): -5.841
Calculated volume (Å³ per cell): 309
Spin magnetization (μB/atom): 0.000

The structure in CIF format:
```
data_Ti4Sn3H
_symmetry_space_group_name_H-M 'P m n 21'
_symmetry_Int_Tables_number 31
_cell_length_a 7.974
_cell_length_b 7.420
_cell_length_c 5.216
_cell_angle_alpha 90.00
_cell_angle_beta 90.00
_cell_angle_gamma 90.00
loop_
_symmetry_equiv_pos_as_xyz
'x,y,z'
'-x+1/2,-y,z+1/2'
'-x,y,z'
'x+1/2,-y,z+1/2'
loop_
_atom_site_label
_atom_site_type_symbol
_atom_site_fract_x
_atom_site_fract_y
_atom_site_fract_z
Ti1 Ti 0.000 0.097 0.000
Ti2 Ti 0.000 0.877 0.564
Ti3 Ti 0.173 0.204 0.533
Sn1 Sn 0.000 0.720 0.066
Sn2 Sn 0.234 0.388 0.033
H1 H 0.000 0.084 0.361
```

***

# Ca2TaCrAg

Ca2TaCrAg after structural relaxation (PBE, the Alexandria database).

E (eV per atom): -4.578
Polymorph energy (0 for the lowest one) (kJ/mol of atoms): 0.00
Calculated volume (Å³ per cell): 154
Spin magnetization (μB/atom): 0.151
Energy of formation from the pure elements (kJ/mol of formula units): 525

The structure in CIF format:
```
data_Ca2TaCrAg
_symmetry_space_group_name_H-M 'P 4/m m m'
_symmetry_Int_Tables_number 123
_symmetry_space_group_name_Hall '-P 4 2'
_cell_length_a 5.865
_cell_length_b 5.865
_cell_length_c 4.481
_cell_angle_alpha 90.00
_cell_angle_beta 90.00
_cell_angle_gamma 90.00
loop_
_atom_site_label
_atom_site_type_symbol
_atom_site_fract_x
_atom_site_fract_y
_atom_site_fract_z
Ca1 Ca 0.000 0.500 0.000
Ta1 Ta 0.000 0.000 0.000
Cr1 Cr 0.000 0.000 0.500
Ag1 Ag 0.500 0.500 0.500
```

***

- spin magnetization of number 10 (ZnCrCd2)?
  0.000 μB/atom

***

- The highest calculated volume belongs to which entry?
  LaSm2Y7